This record from the Alexandria database describes an optimized crystal structure of LiPr2AgS4. The functional is PBE.

Cell: 4.143 6.625 7.196 Å, 68.24 90.00 90.00°
Fractional coordinates of all 8 atoms:
S: 0.000 0.256 0.250
S: 0.000 0.744 0.750
S: 0.500 0.746 0.257
S: 0.500 0.254 0.743
Li: 0.000 0.500 0.500
Ag: 0.500 0.500 0.000
Pr: 0.500 0.000 0.500
Pr: 0.000 0.000 0.000

Properties
**Calculated density**: 4.75 Mg/m³
**Energy**: -5.3500 eV/atom
**Total magnetization**: 0.00 Bohr magnetons per cell
**Formation energy without anion corrections**: -1495.8 meV/atom
**Fermi-level density of states**: 0.0 states/eV/f.u.
**Space-group type**: No. 10


This record from the Alexandria database describes an optimized crystal structure of Li2PrAg2Sb2. The functional is PBE.

Cell: 4.615 4.615 8.764 Å, 74.73 74.73 60.00°
Fractional coordinates of all 7 atoms:
Sb: 0.742 0.742 0.775
Sb: 0.258 0.258 0.225
Ag: 0.558 0.558 0.325
Ag: 0.442 0.442 0.675
Pr: 0.000 0.000 0.000
Li: 0.857 0.857 0.430
Li: 0.143 0.143 0.570

Properties
**Calculated density**: 6.62 Mg/m³
**Energy**: -3.8079 eV/atom
**Total magnetization**: 0.00 Bohr magnetons per cell
**Formation energy without anion corrections**: -585.8 meV/atom
**Fermi-level density of states**: 1.8 states/eV/f.u.
**Space-group type**: No. 166


This record from the Alexandria database describes an optimized crystal structure of LiPrAgSb. The functional is PBE.

Cell: 5.183 5.183 5.183 Å, 60.00 60.00 60.00°
Fractional coordinates of all 4 atoms:
Li: 0.500 0.500 0.500
Sb: 0.750 0.750 0.750
Pr: 0.000 0.000 0.000
Ag: 0.250 0.250 0.250

Properties
**Calculated density**: 6.37 Mg/m³
**Energy**: -3.9518 eV/atom
**Total magnetization**: 0.00 Bohr magnetons per cell
**Formation energy without anion corrections**: -535.1 meV/atom
**Fermi-level density of states**: 2.0 states/eV/f.u.
**Space-group type**: No. 216


This record from the Alexandria database describes an optimized crystal structure of LiPrScAg. The functional is PBE.

Cell: 5.138 5.138 5.138 Å, 60.00 60.00 60.00°
Fractional coordinates of all 4 atoms:
Ag: 0.250 0.250 0.250
Pr: 0.000 0.000 0.000
Li: 0.750 0.750 0.750
Sc: 0.500 0.500 0.500

Properties
**Calculated density**: 5.20 Mg/m³
**Energy**: -4.0020 eV/atom
**Total magnetization**: 0.05 Bohr magnetons per cell
**Calculated formation energy**: -0.13 eV per formula unit
**Fermi-level density of states**: 5.7 states/eV/f.u.
**Space-group type**: No. 216


This record from the Alexandria database describes an optimized crystal structure of LiPrSmAg. The functional is PBE.

Cell: 5.325 5.325 5.325 Å, 60.00 60.00 60.00°
Site moments in Bohr magnetons follow the coordinates.
Fractional coordinates of all 4 atoms:
Li: 0.750 0.750 0.750  0.01
Sm: 0.500 0.500 0.500  0.13
Ag: 0.250 0.250 0.250  0.02
Pr: 0.000 0.000 0.000  0.11

Properties
**Calculated density**: 6.31 Mg/m³
**Energy**: -3.6234 eV/atom
**Total magnetization**: 0.52 Bohr magnetons per cell
**Calculated formation energy**: -0.23 eV per formula unit
**Fermi-level density of states**: 5.1 states/eV/f.u.
**Space-group type**: No. 216


This record from the Alexandria database describes an optimized crystal structure of LiPr2Ag3Sn4. The functional is PBE.

Cell: 4.561 4.561 11.747 Å, 90.00 90.00 90.00°
Fractional coordinates of all 10 atoms:
Ag: 0.500 0.000 0.857
Ag: 0.000 0.500 0.143
Ag: 0.000 0.000 0.500
Sn: 0.000 0.000 0.000
Sn: 0.500 0.000 0.631
Sn: 0.000 0.500 0.369
Sn: 0.500 0.500 0.000
Li: 0.500 0.500 0.500
Pr: 0.000 0.500 0.739
Pr: 0.500 0.000 0.261

Properties
**Calculated density**: 7.39 Mg/m³
**Energy**: -4.0132 eV/atom
**Total magnetization**: 0.00 Bohr magnetons per cell
**Calculated formation energy**: -4.09 eV per formula unit
**Fermi-level density of states**: 3.5 states/eV/f.u.
**Space-group type**: No. 115